HgMoAs2: optimized geometry, PBE-GGA.

Cell lengths 6.667, 6.667, 6.667 Å; angles 90.00, 90.00, 90.00 degrees
Sites, in units of the cell vectors:
Hg 0.000 0.000 0.000
Hg 0.000 0.500 0.500
Hg 0.500 0.000 0.500
Hg 0.500 0.500 0.000
Mo 0.250 0.250 0.250
Mo 0.250 0.750 0.750
Mo 0.750 0.250 0.750
Mo 0.750 0.750 0.250
As 0.000 0.000 0.500
As 0.000 0.500 0.000
As 0.250 0.250 0.750
As 0.250 0.750 0.250
As 0.500 0.000 0.000
As 0.500 0.500 0.500
As 0.750 0.250 0.250
As 0.750 0.750 0.750

Calculated total energy in eV/cell: -69.6
Space-group type: F-43m, No. 216
Total moment in μB/f.u.: 1.57


Cd3Ni: optimized geometry, PBE-GGA.

Cell lengths 4.158, 4.158, 4.158 Å; angles 90.00, 90.00, 90.00 degrees
Sites, in units of the cell vectors:
Cd 0.000 0.000 0.500
Cd 0.000 0.500 0.000
Cd 0.500 0.000 0.000
Ni 0.500 0.500 0.500

Space-group type: Pm-3m, No. 221
Total moment in μB/f.u.: 0.01
ΔE_f in eV/atom: 0.066